Density functional theory data (GGA-PBE) for a relaxed structure of Al2CuAg.

Properties
- Distance to the lowest polymorph of the same formula: 38 meV/atom
- Fermi-level density of states: 0.257 states/eV/atom
- Energy of formation from the pure elements: -0.041 eV per atom

Lattice parameters (Å, degrees): 4.7693 4.7693 4.6377 81.46 81.46 36.23
Last column: nearest neighbours and their distance in Å.
Atoms (fractional coordinates):
Cu: 0.5045 0.5045 0.4722  7 Al 2.64-2.81, 3 Ag 2.77-2.89
Ag: 0.7502 0.7502 0.7614  7 Al 2.64-2.81, 3 Cu 2.77-2.89
Al: 0.2459 0.2459 0.2775  3 Cu 2.64-2.68, 4 Ag 2.70-2.81, 3 Al 2.78-2.88
Al: 0.9994 0.9994 0.9889  3 Ag 2.64-2.78, 4 Cu 2.69-2.81, 3 Al 2.78-2.88

---

Density functional theory data (GGA-PBE) for a relaxed structure of AlCuAg2.

Properties
- Fermi-level density of states: 0.186 states/eV/atom
- Energy of formation from the pure elements: 0.022 eV per atom

Lattice parameters (Å, degrees): 4.4436 2.8216 5.1502 81.58 90.00 90.00
Last column: nearest neighbours and their distance in Å.
Atoms (fractional coordinates):
Al: 0.5000 0.2500 0.2500  4 Ag 2.71, 2 Cu 2.75, 2 Al 2.82
Ag: 0.0000 0.0082 0.9996  2 Al 2.71, 2 Cu 2.72, 4 Ag 2.73-2.82
Ag: 0.0000 0.4918 0.5004  2 Al 2.71, 2 Cu 2.72, 4 Ag 2.73-2.82
Cu: 0.5000 0.7500 0.7500  4 Ag 2.72, 2 Al 2.75, 2 Cu 2.82

---

Density functional theory data (GGA-PBE) for a relaxed structure of Al2CuAg.

Properties
- Distance to the lowest polymorph of the same formula: 80 meV/atom
- Fermi-level density of states: 0.349 states/eV/atom
- Energy of formation from the pure elements: 0.001 eV per atom

Lattice parameters (Å, degrees): 4.4229 4.4229 4.4229 60.00 60.00 60.00
Last column: nearest neighbours and their distance in Å.
Atoms (fractional coordinates):
Al: 0.2500 0.2500 0.2500  4 Ag 2.71, 4 Cu 2.71
Al: 0.7500 0.7500 0.7500  4 Ag 2.71, 4 Cu 2.71
Ag: 0.5000 0.5000 0.5000  8 Al 2.71
Cu: 0.0000 0.0000 0.0000  8 Al 2.71

---

Density functional theory data (GGA-PBE) for a relaxed structure of Al2CuAg.

Properties
- Distance to the lowest polymorph of the same formula: 47 meV/atom
- Fermi-level density of states: 0.281 states/eV/atom
- Energy of formation from the pure elements: -0.032 eV per atom

Lattice parameters (Å, degrees): 2.8297 2.8297 7.7535 90.00 90.00 91.72
Last column: nearest neighbours and their distance in Å.
Atoms (fractional coordinates):
Ag: 0.5000 0.5000 0.7404  4 Cu 2.81-2.85, 4 Ag 2.83, 4 Al 2.84-2.88
Al: 0.5000 0.5000 0.2723  4 Cu 2.56-2.61, 6 Al 2.83-2.86
Al: 0.0000 0.0000 0.0045  8 Al 2.83-2.90, 4 Ag 2.84-2.88
Cu: 0.0000 0.0000 0.4828  4 Al 2.56-2.61, 4 Ag 2.81-2.85, 4 Cu 2.83

---

Density functional theory data (GGA-PBE) for a relaxed structure of Al2CuAg.

Properties
- Distance to the lowest polymorph of the same formula: 46 meV/atom
- Fermi-level density of states: 0.325 states/eV/atom
- Energy of formation from the pure elements: -0.033 eV per atom

Lattice parameters (Å, degrees): 4.6718 4.6718 4.6718 128.14 128.14 76.40
Last column: nearest neighbours and their distance in Å.
Atoms (fractional coordinates):
Al: 0.0000 0.0000 0.0000  4 Ag 2.75, 4 Cu 2.75, 4 Al 2.89
Al: 0.5000 0.5000 0.0000  4 Cu 2.75, 4 Ag 2.75, 4 Al 2.89
Cu: 0.2500 0.7500 0.5000  8 Al 2.75, 4 Ag 2.89
Ag: 0.7500 0.2500 0.5000  8 Al 2.75, 4 Cu 2.89

---

Density functional theory data (GGA-PBE) for a relaxed structure of Al2CuAg.

Properties
- Distance to the lowest polymorph of the same formula: 22 meV/atom
- Fermi-level density of states: 0.444 states/eV/atom
- Energy of formation from the pure elements: -0.057 eV per atom

Lattice parameters (Å, degrees): 3.3890 3.3890 5.3906 90.00 90.00 90.00
Last column: nearest neighbours and their distance in Å.
Atoms (fractional coordinates):
Al: 0.5000 0.5000 0.2730  2 Ag 2.61-2.78, 4 Cu 2.63, 4 Al 2.83
Al: 0.0000 0.0000 0.9933  2 Cu 2.60-2.79, 4 Ag 2.71, 4 Al 2.83
Ag: 0.5000 0.5000 0.7578  6 Al 2.61-2.78, 4 Cu 2.84
Cu: 0.0000 0.0000 0.4759  6 Al 2.60-2.79, 4 Ag 2.84